First-principles (PBE) data for an optimized crystal structure of NpGa6Br12, as listed in Alexandria via LeMat-Bulk.

Computed properties:
Space-group type: R-3 (148)
E_form (uncorrected) (eV per atom): -0.543
V (Å³ per atom): 34.40
Electronic total energy (eV per formula unit): -61.5

The structure in extended XYZ format:
```
19
Lattice="8.8783 5.1259 2.3934 -8.8783 5.1259 2.3934 0.0000 -10.2518 2.3934" Properties=species:S:1:pos:R:3 pbc="T T T"
Np 0.0000 0.0000 0.0000
Ga -1.8008 -1.0193 2.1738
Ga 1.7831 -1.0499 2.1738
Ga 0.0177 2.0692 2.1738
Ga -0.0176 -2.0692 5.0063
Ga -1.7831 1.0499 5.0063
Ga 1.8008 1.0193 5.0063
Br -5.9392 3.3864 2.5253
Br 0.0369 -6.8367 2.5253
Br -5.9024 -3.4503 4.6548
Br -1.8396 -3.1223 3.5900
Br -3.6238 0.0320 3.5901
Br 1.7842 -3.1543 3.5901
Br -1.7842 3.1542 3.5900
Br 3.6238 -0.0320 3.5900
Br 1.8396 3.1223 3.5901
Br 5.9024 3.4503 2.5253
Br -0.0369 6.8367 4.6548
Br 5.9392 -3.3865 4.6548
```